DFT (PBE-GGA) results for RuSeBrN2 after structural relaxation.

CIF file:
```
data_RuSeBrN2
_cell_length_a 3.7392
_cell_length_b 3.7392
_cell_length_c 7.0917
_cell_angle_alpha 90.00
_cell_angle_beta 90.00
_cell_angle_gamma 90.00
_symmetry_space_group_name_H-M 'P 1'
_symmetry_Int_Tables_number 1
loop_
_symmetry_equiv_pos_as_xyz
'x,y,z'
loop_
_atom_site_label
_atom_site_type_symbol
_atom_site_fract_x
_atom_site_fract_y
_atom_site_fract_z
_atom_site_occupancy
Br1 Br 0.0000 0.0000 0.0000 1
N1 N 0.0000 0.5000 0.0000 1
N2 N 0.5000 0.0000 0.0000 1
Se1 Se 0.0000 0.0000 0.5000 1
Ru1 Ru 0.5000 0.5000 0.5000 1
```

Properties
The value obtained for the total energy is -3.85 eV per atom. Its uncorrected formation energy is 2.37 eV per atom. The value obtained for the density of states at the Fermi level is 4.7 states/eV per cell.

---

DFT (PBE-GGA) results for RuSe2BrN after structural relaxation.

CIF file:
```
data_RuSe2BrN
_cell_length_a 4.4314
_cell_length_b 4.4314
_cell_length_c 4.3139
_cell_angle_alpha 90.00
_cell_angle_beta 90.00
_cell_angle_gamma 90.00
_symmetry_space_group_name_H-M 'P 1'
_symmetry_Int_Tables_number 1
loop_
_symmetry_equiv_pos_as_xyz
'x,y,z'
loop_
_atom_site_label
_atom_site_type_symbol
_atom_site_fract_x
_atom_site_fract_y
_atom_site_fract_z
_atom_site_occupancy
Br1 Br 0.0000 0.0000 0.5000 1
Ru1 Ru 0.5000 0.5000 0.5000 1
Se1 Se 0.0000 0.5000 0.0000 1
Se2 Se 0.5000 0.0000 0.0000 1
N1 N 0.0000 0.0000 0.0000 1
```

Properties
The value obtained for the total energy is -3.85 eV per atom. Its uncorrected formation energy is 1.39 eV per atom. The value obtained for the density of states at the Fermi level is 4.7 states/eV per cell.

---

Copy entry 1 word for word.
DFT (PBE-GGA) results for RuSeBrN2 after structural relaxation.

CIF file:
```
data_RuSeBrN2
_cell_length_a 3.7392
_cell_length_b 3.7392
_cell_length_c 7.0917
_cell_angle_alpha 90.00
_cell_angle_beta 90.00
_cell_angle_gamma 90.00
_symmetry_space_group_name_H-M 'P 1'
_symmetry_Int_Tables_number 1
loop_
_symmetry_equiv_pos_as_xyz
'x,y,z'
loop_
_atom_site_label
_atom_site_type_symbol
_atom_site_fract_x
_atom_site_fract_y
_atom_site_fract_z
_atom_site_occupancy
Br1 Br 0.0000 0.0000 0.0000 1
N1 N 0.0000 0.5000 0.0000 1
N2 N 0.5000 0.0000 0.0000 1
Se1 Se 0.0000 0.0000 0.5000 1
Ru1 Ru 0.5000 0.5000 0.5000 1
```

Properties
The value obtained for the total energy is -3.85 eV per atom. Its uncorrected formation energy is 2.37 eV per atom. The value obtained for the density of states at the Fermi level is 4.7 states/eV per cell.

---

Please write out number 1 again, unchanged.
DFT (PBE-GGA) results for RuSeBrN2 after structural relaxation.

CIF file:
```
data_RuSeBrN2
_cell_length_a 3.7392
_cell_length_b 3.7392
_cell_length_c 7.0917
_cell_angle_alpha 90.00
_cell_angle_beta 90.00
_cell_angle_gamma 90.00
_symmetry_space_group_name_H-M 'P 1'
_symmetry_Int_Tables_number 1
loop_
_symmetry_equiv_pos_as_xyz
'x,y,z'
loop_
_atom_site_label
_atom_site_type_symbol
_atom_site_fract_x
_atom_site_fract_y
_atom_site_fract_z
_atom_site_occupancy
Br1 Br 0.0000 0.0000 0.0000 1
N1 N 0.0000 0.5000 0.0000 1
N2 N 0.5000 0.0000 0.0000 1
Se1 Se 0.0000 0.0000 0.5000 1
Ru1 Ru 0.5000 0.5000 0.5000 1
```

Properties
The value obtained for the total energy is -3.85 eV per atom. Its uncorrected formation energy is 2.37 eV per atom. The value obtained for the density of states at the Fermi level is 4.7 states/eV per cell.